(1)
Below is a geometry-optimized TbErSc2Sb4 structure, with properties calculated at the PBE-GGA level.

a = 4.276 Å, b = 7.403 Å, c = 7.392 Å
α = 109.48°, β = 90.00°, γ = 90.00°
Element x y z (fractional)
Tb  0.500  0.500  0.000
Er  0.000  0.000  0.000
Sc  0.500  0.000  0.500
Sc  0.000  0.500  0.500
Sb  0.500  0.253  0.264
Sb  0.500  0.747  0.736
Sb  0.000  0.243  0.735
Sb  0.000  0.757  0.265

(2)
Below is a geometry-optimized ErScSbTe structure, with properties calculated at the PBE-GGA level.

a = 4.172 Å, b = 4.172 Å, c = 7.679 Å
α = 90.00°, β = 105.76°, γ = 120.00°
Element x y z (fractional)
Er  0.479  0.138  0.632
Sc  0.124  0.960  0.099
Sb  0.314  0.555  0.885
Te  0.960  0.378  0.354

(3)
Below is a geometry-optimized ErThSc2Sb4 structure, with properties calculated at the PBE-GGA level.

a = 4.320 Å, b = 7.422 Å, c = 7.458 Å
α = 70.40°, β = 90.00°, γ = 90.00°
Element x y z (fractional)
Er  0.000  0.500  0.500
Th  0.500  0.500  0.000
Sc  0.000  0.000  0.000
Sc  0.500  0.000  0.500
Sb  0.000  0.771  0.737
Sb  0.000  0.229  0.263
Sb  0.500  0.766  0.250
Sb  0.500  0.234  0.750

(4)
Below is a geometry-optimized ErTmSc2Sb4 structure, with properties calculated at the PBE-GGA level.

a = 4.257 Å, b = 7.373 Å, c = 7.369 Å
α = 109.47°, β = 90.00°, γ = 90.00°
Element x y z (fractional)
Er  0.500  0.500  0.000
Tm  0.000  0.000  0.000
Sc  0.500  0.000  0.500
Sc  0.000  0.500  0.500
Sb  0.500  0.253  0.262
Sb  0.500  0.747  0.738
Sb  0.000  0.245  0.738
Sb  0.000  0.755  0.262

(5)
Below is a geometry-optimized ErTm2Sc3Sb6 structure, with properties calculated at the PBE-GGA level.

a = 7.373 Å, b = 7.373 Å, c = 7.360 Å
α = 99.60°, β = 99.60°, γ = 120.02°
Element x y z (fractional)
Er  0.000  0.000  0.000
Tm  0.333  0.667  0.000
Tm  0.667  0.333  0.000
Sc  0.166  0.834  0.500
Sc  0.834  0.166  0.500
Sc  0.500  0.500  0.500
Sb  0.913  0.579  0.738
Sb  0.753  0.753  0.262
Sb  0.087  0.421  0.262
Sb  0.579  0.913  0.738
Sb  0.247  0.247  0.738
Sb  0.421  0.087  0.262

(6)
Below is a geometry-optimized ErTm2ScSb4 structure, with properties calculated at the PBE-GGA level.

a = 6.086 Å, b = 6.086 Å, c = 7.450 Å
α = 114.11°, β = 114.11°, γ = 90.00°
Element x y z (fractional)
Er  0.937  0.937  0.000
Tm  0.187  0.687  0.500
Tm  0.687  0.187  0.500
Sc  0.437  0.437  0.000
Sb  0.937  0.437  0.000
Sb  0.437  0.937  0.000
Sb  0.192  0.192  0.509
Sb  0.682  0.682  0.491

(7)
Below is a geometry-optimized Er2Tm3ScSb6 structure, with properties calculated at the PBE-GGA level.

a = 4.315 Å, b = 8.633 Å, c = 9.647 Å
α = 102.88°, β = 102.92°, γ = 90.00°
Element x y z (fractional)
Er  0.834  0.668  0.669
Er  0.166  0.332  0.331
Tm  0.500  0.500  0.000
Tm  0.832  0.166  0.664
Tm  0.168  0.834  0.336
Sc  0.500  0.000  0.000
Sb  0.337  0.920  0.673
Sb  0.667  0.584  0.333
Sb  0.663  0.080  0.327
Sb  0.999  0.242  0.998
Sb  0.001  0.758  0.002
Sb  0.333  0.416  0.667

(8)
Below is a geometry-optimized ErSc2USb4 structure, with properties calculated at the PBE-GGA level.

a = 4.250 Å, b = 7.373 Å, c = 7.412 Å
α = 109.18°, β = 90.00°, γ = 90.00°
Each line ends with the local moment (μB).
Element x y z (fractional)
Er  0.500  0.500  0.000  0.01
Sc  0.500  0.000  0.500  0.02
Sc  0.000  0.500  0.500  0.01
U  0.000  0.000  0.000  2.40
Sb  0.500  0.257  0.266  -0.03
Sb  0.500  0.743  0.734  -0.03
Sb  0.000  0.246  0.737  -0.02
Sb  0.000  0.754  0.263  -0.02

Number 1: E_form (uncorrected) -98.70 kJ/mol of atoms. Number 2: E_form (uncorrected) -105.41 kJ/mol of atoms. Number 3: E_form (uncorrected) -93.74 kJ/mol of atoms. Number 4: E_form (uncorrected) -96.94 kJ/mol of atoms. Number 5: E_form (uncorrected) -96.79 kJ/mol of atoms. Number 6: E_form (uncorrected) -99.71 kJ/mol of atoms. Number 7: E_form (uncorrected) -101.26 kJ/mol of atoms. Number 8: E_form (uncorrected) -75.07 kJ/mol of atoms.